No. 1
ReMo2Br | GGA-PBE | optimized geometry

E above lowest polymorph in kcal/mol of atoms: 0.57
VASP energy in eV per atom: -8.52
SG: Pmmm (47)
Formation energy without anion corrections in eV/atom: 0.431
DOS(E_F) in states/eV per cell: 4.547

Cell and atoms, written as CIF:
```
data_ReMo2Br
_chemical_formula_sum 'Re1 Mo2 Br1'
_cell_length_a 3.008
_cell_length_b 3.042
_cell_length_c 7.803
_cell_angle_alpha 89.99
_cell_angle_beta 90.00
_cell_angle_gamma 90.00
_space_group_name_H-M_alt 'P 1'
_space_group_IT_number 1
_space_group_name_Hall 'P 1'
loop_
_atom_site_label
_atom_site_type_symbol
_atom_site_fract_x
_atom_site_fract_y
_atom_site_fract_z
_atom_site_occupancy
Re1 Re 0.500 0.250 0.250 1
Mo1 Mo 0.000 0.750 0.040 1
Mo2 Mo 0.000 0.750 0.460 1
Br1 Br 0.500 0.750 0.750 1
```

=====

No. 2
ReMoBr | GGA-PBE | optimized geometry

E above lowest polymorph in kcal/mol of atoms: 3.05
VASP energy in eV per atom: -7.68
SG: I4mm (107)
Formation energy without anion corrections in eV/atom: 0.633
DOS(E_F) in states/eV per cell: 2.277

Cell and atoms, written as CIF:
```
data_ReMoBr
_chemical_formula_sum 'Re1 Mo1 Br1'
_cell_length_a 5.962
_cell_length_b 5.962
_cell_length_c 5.962
_cell_angle_alpha 150.25
_cell_angle_beta 150.25
_cell_angle_gamma 42.57
_space_group_name_H-M_alt 'P 1'
_space_group_IT_number 1
_space_group_name_Hall 'P 1'
loop_
_atom_site_label
_atom_site_type_symbol
_atom_site_fract_x
_atom_site_fract_y
_atom_site_fract_z
_atom_site_occupancy
Re1 Re 0.686 0.686 0.000 1
Mo1 Mo 0.318 0.318 0.000 1
Br1 Br 0.996 0.996 0.000 1
```

=====

No. 3
Re2MoBr | GGA-PBE | optimized geometry

E above lowest polymorph in kcal/mol of atoms: 0.00
VASP energy in eV per atom: -8.75
SG: P4mm (99)
Formation energy without anion corrections in eV/atom: 0.596
DOS(E_F) in states/eV per cell: 3.554

Cell and atoms, written as CIF:
```
data_Re2MoBr
_chemical_formula_sum 'Re2 Mo1 Br1'
_cell_length_a 3.016
_cell_length_b 3.016
_cell_length_c 7.049
_cell_angle_alpha 90.00
_cell_angle_beta 90.00
_cell_angle_gamma 90.00
_space_group_name_H-M_alt 'P 1'
_space_group_IT_number 1
_space_group_name_Hall 'P 1'
loop_
_atom_site_label
_atom_site_type_symbol
_atom_site_fract_x
_atom_site_fract_y
_atom_site_fract_z
_atom_site_occupancy
Re1 Re 0.000 0.000 0.007 1
Re2 Re 0.500 0.500 0.229 1
Mo1 Mo 0.500 0.500 0.753 1
Br1 Br 0.000 0.000 0.511 1
```

=====

Question: What is the formula in the first record?
Answer: ReMo2Br